# 1
A geometry-optimized NiRh2 structure. Source: the Alexandria database, functional GGA-PBE.

a = 4.236 Å, b = 4.236 Å, c = 5.204 Å
α = 90.00°, β = 90.00°, γ = 120.00°
Last column: magnetic moment on the atom in μB.
Element x y z (fractional)
Ni  0.667  0.333  0.750  0.72
Rh  0.667  0.333  0.250  0.51
Rh  0.000  0.000  0.000  0.58
Rh  0.000  0.000  0.500  0.58
Rh  0.333  0.667  0.750  0.51
Ni  0.333  0.667  0.250  0.72

- Formation enthalpy at 0 K: 0.172 eV/atom
- Calculated volume: 13.5 A^3/atom
- M_tot: 1.8 μB per formula unit

=====

# 2
A geometry-optimized Pm8Ho structure. Source: the Alexandria database, functional GGA-PBE.

a = 5.141 Å, b = 8.130 Å, c = 8.130 Å
α = 84.26°, β = 71.57°, γ = 71.57°
Element x y z (fractional)
Pm  0.334  0.000  0.332
Pm  0.666  0.000  0.668
Pm  0.000  0.333  0.667
Pm  0.667  0.333  0.333
Pm  0.334  0.332  0.000
Ho  0.000  0.000  0.000
Pm  0.333  0.667  0.667
Pm  0.000  0.667  0.333
Pm  0.666  0.668  0.000

- Formation enthalpy at 0 K: 0.014 eV/atom
- Calculated volume: 34.0 A^3/atom
- M_tot: 0.0 μB per formula unit

=====

# 3
A geometry-optimized Sr2Li5Cu4 structure. Source: the Alexandria database, functional GGA-PBE.

a = 5.472 Å, b = 7.282 Å, c = 7.142 Å
α = 69.76°, β = 67.47°, γ = 67.93°
Element x y z (fractional)
Li  0.000  0.500  0.500
Cu  0.229  0.440  0.101
Li  0.298  0.754  0.151
Sr  0.278  0.782  0.663
Li  0.203  0.246  0.849
Li  0.797  0.754  0.151
Cu  0.617  0.934  0.832
Sr  0.722  0.218  0.337
Cu  0.383  0.066  0.168
Cu  0.771  0.560  0.899
Li  0.702  0.246  0.849

- Formation enthalpy at 0 K: 0.004 eV/atom
- Calculated volume: 21.5 A^3/atom
- M_tot: 0.0 μB per formula unit

=====

# 4
A geometry-optimized HoTm9In2 structure. Source: the Alexandria database, functional GGA-PBE.

a = 4.813 Å, b = 4.813 Å, c = 14.687 Å
α = 90.00°, β = 90.00°, γ = 90.00°
Element x y z (fractional)
Tm  0.000  0.500  0.172
Tm  0.500  0.000  0.828
Tm  0.500  0.000  0.500
Tm  0.500  0.500  0.000
Tm  0.500  0.000  0.172
Tm  0.500  0.500  0.662
In  0.000  0.000  0.338
Tm  0.000  0.500  0.828
Tm  0.500  0.500  0.338
Ho  0.000  0.000  0.000
In  0.000  0.000  0.662
Tm  0.000  0.500  0.500

- Formation enthalpy at 0 K: -0.161 eV/atom
- Calculated volume: 28.4 A^3/atom
- M_tot: 0.0 μB per formula unit

=====

no.,DOS(E_F) (states/eV per cell)
1,12.7
2,13.5
3,4.9
4,12.7